Below is a relaxed Pr2NdSnN crystal, with properties calculated at the GGA-PBE level.

Cell lengths 5.059, 5.059, 5.014 Å; angles 90.00, 90.00, 90.00 degrees
Fractional positions:
Pr 0.000 0.500 0.000
Pr 0.500 0.000 0.000
Nd 0.000 0.000 0.500
Sn 0.500 0.500 0.500
N 0.000 0.000 0.000

Total DFT energy (no corrections) in eV/atom: -6.272
Mass density in g/cm3: 7.2
Calculated volume in Å³ per cell: 128.32
Raw formation energy in kJ per mole of atoms: -91
Size of the total moment in μB per formula unit: 0.00
Space-group type: No. 123

Below is a relaxed PrNd12Sn4N3 crystal, with properties calculated at the GGA-PBE level.

Cell lengths 8.891, 8.891, 8.891 Å; angles 109.47, 109.47, 109.47 degrees
Fractional positions:
Pr 0.000 0.000 0.000
Nd 0.000 0.275 0.275
Nd 0.000 0.725 0.725
Nd 0.250 0.500 0.750
Nd 0.250 0.750 0.500
Nd 0.275 0.000 0.275
Nd 0.275 0.275 0.000
Nd 0.500 0.250 0.750
Nd 0.500 0.750 0.250
Nd 0.725 0.000 0.725
Nd 0.725 0.725 0.000
Nd 0.750 0.250 0.500
Nd 0.750 0.500 0.250
Sn 0.000 0.000 0.500
Sn 0.000 0.500 0.000
Sn 0.500 0.000 0.000
Sn 0.500 0.500 0.500
N 0.000 0.500 0.500
N 0.500 0.000 0.500
N 0.500 0.500 0.000

Total DFT energy (no corrections) in eV/atom: -5.671
Mass density in g/cm3: 7.3
Calculated volume in Å³ per cell: 541.04
Raw formation energy in kJ per mole of atoms: -50
Size of the total moment in μB per formula unit: 0.00
Space-group type: No. 229

Below is a relaxed PrNdSnN3 crystal, with properties calculated at the GGA-PBE level.

Cell lengths 6.739, 3.447, 9.878 Å; angles 90.00, 91.77, 90.00 degrees
Fractional positions:
Pr 0.194 0.250 0.245
Pr 0.806 0.750 0.755
Nd 0.329 0.750 0.890
Nd 0.671 0.250 0.110
Sn 0.180 0.250 0.590
Sn 0.820 0.750 0.410
N 0.090 0.250 0.802
N 0.161 0.750 0.453
N 0.394 0.750 0.127
N 0.606 0.250 0.873
N 0.839 0.250 0.547
N 0.910 0.750 0.198

Total DFT energy (no corrections) in eV/atom: -7.007
Mass density in g/cm3: 6.5
Calculated volume in Å³ per cell: 229.36
Raw formation energy in kJ per mole of atoms: -57
Size of the total moment in μB per formula unit: 0.00
Space-group type: No. 11

Below is a relaxed PrNdTaN3 crystal, with properties calculated at the GGA-PBE level.

Cell lengths 7.721, 3.615, 7.999 Å; angles 90.00, 95.32, 90.00 degrees
Fractional positions:
Pr 0.162 0.250 0.151
Pr 0.838 0.750 0.849
Nd 0.388 0.750 0.832
Nd 0.612 0.250 0.168
Ta 0.104 0.250 0.599
Ta 0.896 0.750 0.401
N 0.105 0.250 0.843
N 0.168 0.750 0.504
N 0.384 0.750 0.125
N 0.616 0.250 0.875
N 0.832 0.250 0.496
N 0.895 0.750 0.157

Total DFT energy (no corrections) in eV/atom: -8.744
Mass density in g/cm3: 7.6
Calculated volume in Å³ per cell: 222.31
Raw formation energy in kJ per mole of atoms: -98
Size of the total moment in μB per formula unit: 0.39
Space-group type: No. 11

Below is a relaxed PrNd2TaN4 crystal, with properties calculated at the GGA-PBE level.

Cell lengths 6.409, 6.409, 12.592 Å; angles 90.00, 90.00, 148.41 degrees
Fractional positions:
Pr 0.100 0.900 0.750
Pr 0.900 0.100 0.250
Nd 0.369 0.631 0.533
Nd 0.369 0.631 0.967
Nd 0.631 0.369 0.033
Nd 0.631 0.369 0.467
Ta 0.164 0.836 0.250
Ta 0.836 0.164 0.750
N 0.000 0.000 0.000
N 0.000 0.000 0.500
N 0.264 0.736 0.132
N 0.264 0.736 0.368
N 0.431 0.569 0.750
N 0.569 0.431 0.250
N 0.736 0.264 0.632
N 0.736 0.264 0.868

Total DFT energy (no corrections) in eV/atom: -8.565
Mass density in g/cm3: 8.2
Calculated volume in Å³ per cell: 270.93
Raw formation energy in kJ per mole of atoms: -109
Size of the total moment in μB per formula unit: 0.00
Space-group type: No. 63

Below is a relaxed Tb2PrNdN4 crystal, with properties calculated at the GGA-PBE level.

Cell lengths 6.206, 3.586, 6.214 Å; angles 90.00, 109.40, 90.00 degrees
Fractional positions:
Tb 0.000 0.000 0.000
Tb 0.500 0.500 0.000
Pr 0.000 0.500 0.500
Nd 0.500 0.000 0.500
N 0.248 0.500 0.240
N 0.255 0.000 0.761
N 0.745 0.000 0.239
N 0.752 0.500 0.760

Total DFT energy (no corrections) in eV/atom: -7.987
Mass density in g/cm3: 8.4
Calculated volume in Å³ per cell: 130.45
Raw formation energy in kJ per mole of atoms: -142
Size of the total moment in μB per formula unit: 0.00
Space-group type: No. 10

Below is a relaxed TbPrNdN3 crystal, with properties calculated at the GGA-PBE level.

Cell lengths 6.191, 3.588, 9.308 Å; angles 90.00, 101.70, 90.00 degrees
Fractional positions:
Tb 0.150 0.250 0.138
Tb 0.850 0.750 0.862
Pr 0.347 0.250 0.805
Pr 0.653 0.750 0.195
Nd 0.230 0.750 0.453
Nd 0.770 0.250 0.547
N 0.037 0.750 0.659
N 0.245 0.750 0.010
N 0.462 0.250 0.324
N 0.538 0.750 0.676
N 0.755 0.250 0.990
N 0.963 0.250 0.341

Total DFT energy (no corrections) in eV/atom: -7.814
Mass density in g/cm3: 8.0
Calculated volume in Å³ per cell: 202.45
Raw formation energy in kJ per mole of atoms: -124
Size of the total moment in μB per formula unit: 0.00
Space-group type: No. 11

Below is a relaxed PrNd2TcN4 crystal, with properties calculated at the GGA-PBE level.

Cell lengths 6.300, 6.300, 12.072 Å; angles 90.00, 90.00, 147.30 degrees
Fractional positions:
Pr 0.121 0.879 0.750
Pr 0.879 0.121 0.250
Nd 0.368 0.632 0.540
Nd 0.368 0.632 0.960
Nd 0.632 0.368 0.040
Nd 0.632 0.368 0.460
Tc 0.148 0.852 0.250
Tc 0.852 0.148 0.750
N 0.000 0.000 0.000
N 0.000 0.000 0.500
N 0.268 0.732 0.135
N 0.268 0.732 0.365
N 0.429 0.571 0.750
N 0.571 0.429 0.250
N 0.732 0.268 0.635
N 0.732 0.268 0.865

Total DFT energy (no corrections) in eV/atom: -8.152
Mass density in g/cm3: 7.5
Calculated volume in Å³ per cell: 258.84
Raw formation energy in kJ per mole of atoms: -87
Size of the total moment in μB per formula unit: 0.00
Space-group type: No. 63

Below is a relaxed Pr2NdTc2N6 crystal, with properties calculated at the GGA-PBE level.

Cell lengths 7.011, 7.011, 7.011 Å; angles 48.88, 48.88, 48.88 degrees
Fractional positions:
Pr 0.208 0.208 0.208
Pr 0.792 0.792 0.792
Nd 0.000 0.000 0.000
Tc 0.404 0.404 0.404
Tc 0.596 0.596 0.596
N 0.226 0.737 0.737
N 0.263 0.263 0.774
N 0.263 0.774 0.263
N 0.737 0.226 0.737
N 0.737 0.737 0.226
N 0.774 0.263 0.263

Total DFT energy (no corrections) in eV/atom: -8.321
Mass density in g/cm3: 6.5
Calculated volume in Å³ per cell: 179.50
Raw formation energy in kJ per mole of atoms: -57
Size of the total moment in μB per formula unit: 0.00
Space-group type: No. 166

Below is a relaxed Pr4Nd2Te3N2 crystal, with properties calculated at the GGA-PBE level.

Cell lengths 13.768, 13.768, 13.768 Å; angles 160.03, 160.03, 28.39 degrees
Fractional positions:
Pr 0.083 0.583 0.500
Pr 0.417 0.917 0.500
Pr 0.583 0.083 0.500
Pr 0.917 0.417 0.500
Nd 0.195 0.195 0.000
Nd 0.805 0.805 0.000
Te 0.322 0.322 0.000
Te 0.500 0.500 0.000
Te 0.678 0.678 0.000
N 0.109 0.109 0.000
N 0.891 0.891 0.000

Total DFT energy (no corrections) in eV/atom: -6.133
Mass density in g/cm3: 6.9
Calculated volume in Å³ per cell: 304.34
Raw formation energy in kJ per mole of atoms: -112
Size of the total moment in μB per formula unit: 0.00
Space-group type: No. 139

Below is a relaxed PrNdTeN crystal, with properties calculated at the GGA-PBE level.

Cell lengths 7.300, 7.300, 7.300 Å; angles 148.85, 148.70, 44.74 degrees
Fractional positions:
Pr 0.000 0.000 0.000
Nd 0.301 0.301 0.000
Te 0.652 0.652 0.000
N 0.400 0.900 0.500

Total DFT energy (no corrections) in eV/atom: -6.546
Mass density in g/cm3: 6.8
Calculated volume in Å³ per cell: 104.24
Raw formation energy in kJ per mole of atoms: -125
Size of the total moment in μB per formula unit: 0.94
Space-group type: No. 44

Below is a relaxed PrNd2ThN4 crystal, with properties calculated at the GGA-PBE level.

Cell lengths 6.337, 3.670, 6.343 Å; angles 90.00, 109.37, 90.00 degrees
Fractional positions:
Pr 0.000 0.000 0.000
Nd 0.500 0.000 0.500
Nd 0.500 0.500 0.000
Th 0.000 0.500 0.500
N 0.241 0.000 0.739
N 0.245 0.500 0.258
N 0.755 0.500 0.742
N 0.759 0.000 0.261

Total DFT energy (no corrections) in eV/atom: -8.328
Mass density in g/cm3: 8.6
Calculated volume in Å³ per cell: 139.14
Raw formation energy in kJ per mole of atoms: -140
Size of the total moment in μB per formula unit: 0.00
Space-group type: No. 10

Below is a relaxed PrNd4Th3N8 crystal, with properties calculated at the GGA-PBE level.

Cell lengths 7.316, 7.316, 7.316 Å; angles 60.13, 60.13, 60.13 degrees
Fractional positions:
Pr 0.000 0.000 0.000
Nd 0.000 0.000 0.500
Nd 0.000 0.500 0.000
Nd 0.500 0.000 0.000
Nd 0.500 0.500 0.500
Th 0.000 0.500 0.500
Th 0.500 0.000 0.500
Th 0.500 0.500 0.000
N 0.251 0.251 0.738
N 0.251 0.738 0.251
N 0.255 0.255 0.255
N 0.262 0.749 0.749
N 0.738 0.251 0.251
N 0.745 0.745 0.745
N 0.749 0.262 0.749
N 0.749 0.749 0.262

Total DFT energy (no corrections) in eV/atom: -8.535
Mass density in g/cm3: 9.1
Calculated volume in Å³ per cell: 277.78
Raw formation energy in kJ per mole of atoms: -144
Size of the total moment in μB per formula unit: 0.00
Space-group type: No. 166

Below is a relaxed PrNdTh2N4 crystal, with properties calculated at the GGA-PBE level.

Cell lengths 6.345, 3.676, 6.358 Å; angles 90.00, 109.50, 90.00 degrees
Fractional positions:
Pr 0.000 0.000 0.000
Nd 0.000 0.500 0.500
Th 0.500 0.000 0.500
Th 0.500 0.500 0.000
N 0.267 0.000 0.755
N 0.269 0.500 0.257
N 0.731 0.500 0.743
N 0.733 0.000 0.245

Total DFT energy (no corrections) in eV/atom: -8.715
Mass density in g/cm3: 9.6
Calculated volume in Å³ per cell: 139.80
Raw formation energy in kJ per mole of atoms: -145
Size of the total moment in μB per formula unit: 0.00
Space-group type: No. 10

Below is a relaxed Pr2NdTh3N6 crystal, with properties calculated at the GGA-PBE level.

Cell lengths 8.216, 8.216, 7.332 Å; angles 102.82, 102.82, 25.85 degrees
Fractional positions:
Pr 0.167 0.167 0.333
Pr 0.833 0.833 0.667
Nd 0.500 0.500 0.000
Th 0.167 0.167 0.833
Th 0.500 0.500 0.500
Th 0.833 0.833 0.167
N 0.004 0.004 0.742
N 0.330 0.330 0.928
N 0.338 0.338 0.406
N 0.662 0.662 0.594
N 0.670 0.670 0.072
N 0.996 0.996 0.258

Total DFT energy (no corrections) in eV/atom: -8.714
Mass density in g/cm3: 9.5
Calculated volume in Å³ per cell: 210.15
Raw formation energy in kJ per mole of atoms: -145
Size of the total moment in μB per formula unit: 0.00
Space-group type: No. 12

Below is a relaxed PrNdThN3 crystal, with properties calculated at the GGA-PBE level.

Cell lengths 6.250, 3.575, 9.604 Å; angles 90.00, 96.44, 90.00 degrees
Fractional positions:
Pr 0.210 0.250 0.225
Pr 0.790 0.750 0.775
Nd 0.319 0.250 0.877
Nd 0.681 0.750 0.123
Th 0.259 0.750 0.553
Th 0.741 0.250 0.447
N 0.028 0.250 0.653
N 0.285 0.750 0.036
N 0.478 0.750 0.356
N 0.522 0.250 0.644
N 0.715 0.250 0.964
N 0.972 0.750 0.347

Total DFT energy (no corrections) in eV/atom: -8.285
Mass density in g/cm3: 8.7
Calculated volume in Å³ per cell: 213.23
Raw formation energy in kJ per mole of atoms: -125
Size of the total moment in μB per formula unit: 0.00
Space-group type: No. 11

Below is a relaxed PrNd2TiN4 crystal, with properties calculated at the GGA-PBE level.

Cell lengths 6.304, 6.304, 12.366 Å; angles 90.00, 90.00, 147.66 degrees
Fractional positions:
Pr 0.100 0.900 0.750
Pr 0.900 0.100 0.250
Nd 0.369 0.631 0.540
Nd 0.369 0.631 0.960
Nd 0.631 0.369 0.040
Nd 0.631 0.369 0.460
Ti 0.168 0.832 0.250
Ti 0.832 0.168 0.750
N 0.000 0.000 0.000
N 0.000 0.000 0.500
N 0.267 0.733 0.132
N 0.267 0.733 0.368
N 0.424 0.576 0.750
N 0.576 0.424 0.250
N 0.733 0.267 0.632
N 0.733 0.267 0.868

Total DFT energy (no corrections) in eV/atom: -8.215
Mass density in g/cm3: 6.7
Calculated volume in Å³ per cell: 262.92
Raw formation energy in kJ per mole of atoms: -123
Size of the total moment in μB per formula unit: 0.00
Space-group type: No. 63

Below is a relaxed PrNd2TlN crystal, with properties calculated at the GGA-PBE level.

Cell lengths 5.043, 5.043, 5.085 Å; angles 90.00, 90.00, 90.00 degrees
Fractional positions:
Pr 0.000 0.000 0.000
Nd 0.000 0.500 0.500
Nd 0.500 0.000 0.500
Tl 0.500 0.500 0.000
N 0.000 0.000 0.500

Total DFT energy (no corrections) in eV/atom: -5.803
Mass density in g/cm3: 8.3
Calculated volume in Å³ per cell: 129.34
Raw formation energy in kJ per mole of atoms: -77
Size of the total moment in μB per formula unit: 0.00
Space-group type: No. 123

Below is a relaxed Pr4Nd3UN8 crystal, with properties calculated at the GGA-PBE level.

Cell lengths 7.269, 7.269, 7.269 Å; angles 59.88, 59.88, 59.88 degrees
Fractional positions:
Pr 0.000 0.000 0.000
Pr 0.000 0.500 0.500
Pr 0.500 0.000 0.500
Pr 0.500 0.500 0.000
Nd 0.000 0.000 0.500
Nd 0.000 0.500 0.000
Nd 0.500 0.000 0.000
U 0.500 0.500 0.500
N 0.249 0.249 0.249
N 0.273 0.725 0.725
N 0.275 0.275 0.727
N 0.275 0.727 0.275
N 0.725 0.273 0.725
N 0.725 0.725 0.273
N 0.727 0.275 0.275
N 0.751 0.751 0.751

Total DFT energy (no corrections) in eV/atom: -8.315
Mass density in g/cm3: 8.3
Calculated volume in Å³ per cell: 270.85
Raw formation energy in kJ per mole of atoms: -131
Size of the total moment in μB per formula unit: 0.00
Space-group type: No. 166

Below is a relaxed PrNd2UN4 crystal, with properties calculated at the GGA-PBE level.

Cell lengths 6.233, 6.233, 6.233 Å; angles 131.84, 131.84, 70.48 degrees
Fractional positions:
Pr 0.000 0.000 0.000
Nd 0.500 0.500 0.000
Nd 0.750 0.250 0.500
U 0.250 0.750 0.500
N 0.035 0.535 0.500
N 0.251 0.251 0.000
N 0.465 0.965 0.500
N 0.749 0.749 0.000

Total DFT energy (no corrections) in eV/atom: -8.728
Mass density in g/cm3: 9.1
Calculated volume in Å³ per cell: 131.70
Raw formation energy in kJ per mole of atoms: -132
Size of the total moment in μB per formula unit: 1.09
Space-group type: No. 119